No. 1
# YTaBeOs | OQMD | PBE | optimized geometry
# magnetization = 0.0 μB per formula unit
# energy above the most stable polymorph in this dataset = 513.7 meV per atom
data_YTaBeOs
_space_group_name_H-M_alt 'F -4 3 m'
_space_group_IT_number 216
_space_group_name_Hall 'F -4 2 3'
_cell_length_a 6.414
_cell_length_b 6.414
_cell_length_c 6.414
_cell_angle_alpha 90.00
_cell_angle_beta 90.00
_cell_angle_gamma 90.00
loop_
_atom_site_label
_atom_site_fract_x
_atom_site_fract_y
_atom_site_fract_z
Y1 0.000 0.000 0.000
Ta1 0.250 0.250 0.750
Be1 0.000 0.000 0.500
Os1 0.250 0.250 0.250

=====

No. 2
# BaMg2CdSi | OQMD | PBE | optimized geometry
# uncorrected energy = -25.59 eV for the cell shown
data_BaMg2CdSi
_space_group_name_H-M_alt 'I 4 m m'
_space_group_IT_number 107
_space_group_name_Hall 'I 4 -2'
_cell_length_a 4.621
_cell_length_b 4.621
_cell_length_c 12.420
_cell_angle_alpha 90.00
_cell_angle_beta 90.00
_cell_angle_gamma 90.00
loop_
_atom_site_label
_atom_site_fract_x
_atom_site_fract_y
_atom_site_fract_z
Ba1 0.000 0.000 0.000
Mg1 0.000 0.500 0.268
Cd1 0.000 0.000 0.616
Si1 0.000 0.000 0.394

=====

No. 3
# NdAgPt | OQMD | PBE | optimized geometry
# magnetization = 0.0 μB per formula unit
# ΔE_f = -179 kJ/mol of formula units
data_NdAgPt
_space_group_name_H-M_alt 'F -4 3 m'
_space_group_IT_number 216
_space_group_name_Hall 'F -4 2 3'
_cell_length_a 6.720
_cell_length_b 6.720
_cell_length_c 6.720
_cell_angle_alpha 90.00
_cell_angle_beta 90.00
_cell_angle_gamma 90.00
loop_
_atom_site_label
_atom_site_fract_x
_atom_site_fract_y
_atom_site_fract_z
Nd1 0.000 0.000 0.000
Ag1 0.000 0.000 0.500
Pt1 0.250 0.250 0.750